Compound: CrCoAs2
Source: the Alexandria database
Functional: PBE-GGA
Structure: relaxed

Calculated values
N(E_F)   3.0 states/eV/f.u.
Formation energy from the elements   -22 kJ/mol of formula units
Total DFT energy (no corrections)   -6.56 eV/atom
Calculated volume   57.6 Å³ per cell

CIF file:
```
data_CrCoAs2
_space_group_name_H-M_alt 'P 4 m m'
_space_group_IT_number 99
_cell_length_a 3.3929
_cell_length_b 3.3929
_cell_length_c 5.0055
_cell_angle_alpha 90.00
_cell_angle_beta 90.00
_cell_angle_gamma 90.00
loop_
_space_group_symop_operation_xyz
'x,y,z'
'-y,x,z'
'-x,-y,z'
'y,-x,z'
'-x,y,z'
'y,x,z'
'x,-y,z'
'-y,-x,z'
loop_
_atom_site_label
_atom_site_type_symbol
_atom_site_fract_x
_atom_site_fract_y
_atom_site_fract_z
_atom_site_occupancy
Cr1 Cr 0.0000 0.0000 0.0000 1
Co1 Co 0.5000 0.5000 0.6434 1
As1 As 0.0000 0.0000 0.5125 1
As2 As 0.5000 0.5000 0.1384 1
```

Compound: CrCoAs
Source: the Alexandria database
Functional: PBE-GGA
Structure: relaxed

Calculated values
N(E_F)   3.4 states/eV/f.u.
Formation energy from the elements   -54 kJ/mol of formula units
Total DFT energy (no corrections)   -7.31 eV/atom
Calculated volume   232.6 Å³ per cell

CIF file:
```
data_CrCoAs
_space_group_name_H-M_alt 'P 1 21/m 1'
_space_group_IT_number 11
_cell_length_a 6.0534
_cell_length_b 3.6697
_cell_length_c 10.4728
_cell_angle_alpha 90.00
_cell_angle_beta 90.37
_cell_angle_gamma 90.00
loop_
_space_group_symop_operation_xyz
'x,y,z'
'-x,-y,-z'
'-x,y+1/2,-z'
'x,-y+1/2,z'
loop_
_atom_site_label
_atom_site_type_symbol
_atom_site_fract_x
_atom_site_fract_y
_atom_site_fract_z
_atom_site_occupancy
Cr1 Cr 0.0247 0.2500 0.2108 1
Cr2 Cr 0.3425 0.7500 0.5790 1
Cr3 Cr 0.4609 0.7500 0.8809 1
Co1 Co 0.0063 0.2500 0.5891 1
Co2 Co 0.1411 0.2500 0.9610 1
Co3 Co 0.3657 0.7500 0.2944 1
As1 As 0.2444 0.7500 0.0847 1
As2 As 0.2456 0.2500 0.4149 1
As3 As 0.2642 0.2500 0.7510 1
```

Compound: CrCoAs2
Source: the Alexandria database
Functional: PBE-GGA
Structure: relaxed

Calculated values
N(E_F)   4.1 states/eV/f.u.
Formation energy from the elements   3 kJ/mol of formula units
Total DFT energy (no corrections)   -6.50 eV/atom
Calculated volume   58.7 Å³ per cell

CIF file:
```
data_CrCoAs2
_space_group_name_H-M_alt 'P 1 m 1'
_space_group_IT_number 6
_cell_length_a 3.0127
_cell_length_b 4.5565
_cell_length_c 4.5193
_cell_angle_alpha 90.00
_cell_angle_beta 108.77
_cell_angle_gamma 90.00
loop_
_space_group_symop_operation_xyz
'x,y,z'
'x,-y,z'
loop_
_atom_site_label
_atom_site_type_symbol
_atom_site_fract_x
_atom_site_fract_y
_atom_site_fract_z
_atom_site_occupancy
Cr1 Cr 0.0000 0.0000 0.0000 1
Co1 Co 0.5935 0.5000 0.1909 1
As1 As 0.7031 0.0000 0.4216 1
As2 As 0.8956 0.5000 0.7787 1
```

Compound: Cr2Co2As
Source: the Alexandria database
Functional: PBE-GGA
Structure: relaxed

Calculated values
N(E_F)   4.5 states/eV/f.u.
Formation energy from the elements   136 kJ/mol of formula units
Total DFT energy (no corrections)   -7.34 eV/atom
Calculated volume   125.2 Å³ per cell

CIF file:
```
data_Cr2Co2As
_space_group_name_H-M_alt 'P 4/m b m'
_space_group_IT_number 127
_space_group_name_Hall '-P 4 2ab'
_cell_length_a 6.7793
_cell_length_b 6.7793
_cell_length_c 2.7250
_cell_angle_alpha 90.00
_cell_angle_beta 90.00
_cell_angle_gamma 90.00
loop_
_atom_site_label
_atom_site_type_symbol
_atom_site_fract_x
_atom_site_fract_y
_atom_site_fract_z
_atom_site_occupancy
Cr1 Cr 0.1670 0.3330 0.0000 1
Co1 Co 0.1266 0.6266 0.5000 1
As1 As 0.0000 0.0000 0.5000 1
```

Compound: CrCoAs2
Source: the Alexandria database
Functional: PBE-GGA
Structure: relaxed

Calculated values
N(E_F)   2.8 states/eV/f.u.
Formation energy from the elements   57 kJ/mol of formula units
Total DFT energy (no corrections)   -6.36 eV/atom
Calculated volume   113.7 Å³ per cell

CIF file:
```
data_CrCoAs2
_space_group_name_H-M_alt 'I -4 m 2'
_space_group_IT_number 119
_space_group_name_Hall 'I -4 -2'
_cell_length_a 3.5215
_cell_length_b 3.5215
_cell_length_c 9.1658
_cell_angle_alpha 90.00
_cell_angle_beta 90.00
_cell_angle_gamma 90.00
loop_
_atom_site_label
_atom_site_type_symbol
_atom_site_fract_x
_atom_site_fract_y
_atom_site_fract_z
_atom_site_occupancy
Cr1 Cr 0.0000 0.0000 0.0000 1
Co1 Co 0.0000 0.5000 0.2500 1
As1 As 0.0000 0.0000 0.5000 1
As2 As 0.0000 0.5000 0.7500 1
```

Compound: Cr3CoAs
Source: the Alexandria database
Functional: PBE-GGA
Structure: relaxed

Calculated values
N(E_F)   7.0 states/eV/f.u.
Formation energy from the elements   483 kJ/mol of formula units
Total DFT energy (no corrections)   -7.12 eV/atom
Calculated volume   82.3 Å³ per cell

CIF file:
```
data_Cr3CoAs
_space_group_name_H-M_alt 'P m -3 m'
_space_group_IT_number 221
_space_group_name_Hall '-P 4 2 3'
_cell_length_a 4.3500
_cell_length_b 4.3500
_cell_length_c 4.3500
_cell_angle_alpha 90.00
_cell_angle_beta 90.00
_cell_angle_gamma 90.00
loop_
_atom_site_label
_atom_site_type_symbol
_atom_site_fract_x
_atom_site_fract_y
_atom_site_fract_z
_atom_site_occupancy
Cr1 Cr 0.0000 0.0000 0.5000 1
Co1 Co 0.0000 0.0000 0.0000 1
As1 As 0.5000 0.5000 0.5000 1
```

Compound: CrCoAs2
Source: the Alexandria database
Functional: PBE-GGA
Structure: relaxed

Calculated values
N(E_F)   4.2 states/eV/f.u.
Formation energy from the elements   171 kJ/mol of formula units
Total DFT energy (no corrections)   -6.06 eV/atom
Calculated volume   238.7 Å³ per cell

CIF file:
```
data_CrCoAs2
_space_group_name_H-M_alt 'F -4 3 m'
_space_group_IT_number 216
_space_group_name_Hall 'F -4 2 3'
_cell_length_a 6.2034
_cell_length_b 6.2034
_cell_length_c 6.2034
_cell_angle_alpha 90.00
_cell_angle_beta 90.00
_cell_angle_gamma 90.00
loop_
_atom_site_label
_atom_site_type_symbol
_atom_site_fract_x
_atom_site_fract_y
_atom_site_fract_z
_atom_site_occupancy
Cr1 Cr 0.0000 0.0000 0.0000 1
Co1 Co 0.2500 0.2500 0.7500 1
As1 As 0.0000 0.0000 0.5000 1
As2 As 0.2500 0.2500 0.2500 1
```

Compound: CrCoAs2
Source: the Alexandria database
Functional: PBE-GGA
Structure: relaxed

Calculated values
N(E_F)   3.5 states/eV/f.u.
Formation energy from the elements   49 kJ/mol of formula units
Total DFT energy (no corrections)   -6.38 eV/atom
Calculated volume   164.8 Å³ per cell

CIF file:
```
data_CrCoAs2
_space_group_name_H-M_alt 'R -3 m'
_space_group_IT_number 166
_space_group_name_Hall '-R 3 2"'
_cell_length_a 2.9495
_cell_length_b 2.9495
_cell_length_c 21.8726
_cell_angle_alpha 90.00
_cell_angle_beta 90.00
_cell_angle_gamma 120.00
loop_
_atom_site_label
_atom_site_type_symbol
_atom_site_fract_x
_atom_site_fract_y
_atom_site_fract_z
_atom_site_occupancy
Cr1 Cr 0.0000 0.0000 0.0000 1
Co1 Co 0.0000 0.0000 0.5000 1
As1 As 0.0000 0.0000 0.2501 1
```

Compound: CrCoAs
Source: the Alexandria database
Functional: PBE-GGA
Structure: relaxed

Calculated values
N(E_F)   3.0 states/eV/f.u.
Formation energy from the elements   -53 kJ/mol of formula units
Total DFT energy (no corrections)   -7.31 eV/atom
Calculated volume   116.9 Å³ per cell

CIF file:
```
data_CrCoAs
_space_group_name_H-M_alt 'P -6 2 m'
_space_group_IT_number 189
_space_group_name_Hall 'P -6 -2'
_cell_length_a 6.0626
_cell_length_b 6.0626
_cell_length_c 3.6739
_cell_angle_alpha 90.00
_cell_angle_beta 90.00
_cell_angle_gamma 120.00
loop_
_atom_site_label
_atom_site_type_symbol
_atom_site_fract_x
_atom_site_fract_y
_atom_site_fract_z
_atom_site_occupancy
Cr1 Cr 0.0000 0.5826 0.0000 1
Co1 Co 0.0000 0.2469 0.5000 1
As1 As 0.0000 0.0000 0.0000 1
As2 As 0.3333 0.6667 0.5000 1
```

Compound: Cr2CoAsH
Source: the Alexandria database
Functional: PBE-GGA
Structure: relaxed

Calculated values
N(E_F)   4.5 states/eV/f.u.
Total DFT energy (no corrections)   -6.87 eV/atom
Calculated volume   51.6 Å³ per cell

CIF file:
```
data_Cr2CoAsH
_space_group_name_H-M_alt 'P 4/m m m'
_space_group_IT_number 123
_space_group_name_Hall '-P 4 2'
_cell_length_a 3.7770
_cell_length_b 3.7770
_cell_length_c 3.6199
_cell_angle_alpha 90.00
_cell_angle_beta 90.00
_cell_angle_gamma 90.00
loop_
_atom_site_label
_atom_site_type_symbol
_atom_site_fract_x
_atom_site_fract_y
_atom_site_fract_z
_atom_site_occupancy
Cr1 Cr 0.0000 0.5000 0.0000 1
Co1 Co 0.0000 0.0000 0.5000 1
As1 As 0.5000 0.5000 0.5000 1
H1 H 0.0000 0.0000 0.0000 1
```

Compound: CrCo2AsI
Source: the Alexandria database
Functional: PBE-GGA
Structure: relaxed

Calculated values
N(E_F)   5.4 states/eV/f.u.
Energy relative to the elements, uncorrected   0.722 eV per atom
Total DFT energy (no corrections)   -5.28 eV/atom
Calculated volume   103.0 Å³ per cell

CIF file:
```
data_CrCo2AsI
_space_group_name_H-M_alt 'P 4/m m m'
_space_group_IT_number 123
_space_group_name_Hall '-P 4 2'
_cell_length_a 4.4987
_cell_length_b 4.4987
_cell_length_c 5.0875
_cell_angle_alpha 90.00
_cell_angle_beta 90.00
_cell_angle_gamma 90.00
loop_
_atom_site_label
_atom_site_type_symbol
_atom_site_fract_x
_atom_site_fract_y
_atom_site_fract_z
_atom_site_occupancy
Cr1 Cr 0.0000 0.0000 0.0000 1
Co1 Co 0.0000 0.5000 0.5000 1
As1 As 0.0000 0.0000 0.5000 1
I1 I 0.5000 0.5000 0.0000 1
```

Compound: Cr2CoAsN
Source: the Alexandria database
Functional: PBE-GGA
Structure: relaxed

Calculated values
N(E_F)   3.9 states/eV/f.u.
Energy relative to the elements, uncorrected   -0.120 eV per atom
Total DFT energy (no corrections)   -7.99 eV/atom
Calculated volume   56.3 Å³ per cell

CIF file:
```
data_Cr2CoAsN
_space_group_name_H-M_alt 'P 4/m m m'
_space_group_IT_number 123
_space_group_name_Hall '-P 4 2'
_cell_length_a 3.8722
_cell_length_b 3.8722
_cell_length_c 3.7529
_cell_angle_alpha 90.00
_cell_angle_beta 90.00
_cell_angle_gamma 90.00
loop_
_atom_site_label
_atom_site_type_symbol
_atom_site_fract_x
_atom_site_fract_y
_atom_site_fract_z
_atom_site_occupancy
Cr1 Cr 0.0000 0.5000 0.0000 1
Co1 Co 0.0000 0.0000 0.5000 1
As1 As 0.5000 0.5000 0.5000 1
N1 N 0.0000 0.0000 0.0000 1
```